Compound: ZrNp
Source: OQMD via LeMat-Bulk
Functional: PBE
Structure: optimized geometry

As for the energy of formation: 205.7 meV/atom. For the total energy, the calculation gives -104.53 eV/cell. The value obtained for the energy above the most stable polymorph in this dataset is 105.9 meV/atom.

It has space group Pm (No. 6), with a = 5.928 Å, b = 4.909 Å, c = 7.721 Å, α = 90.00°, β = 108.03° and γ = 90.00°. The asymmetric unit holds Zr at (0.000, 0.000, 0.000), Zr at (0.102, 0.500, 0.575), Zr at (0.258, 0.500, 0.974), Zr at (0.668, 0.500, 0.783), Zr at (0.815, 0.000, 0.554), Np at (0.305, 0.000, 0.434), Np at (0.401, 0.000, 0.769), Np at (0.460, 0.500, 0.350), Np at (0.609, 0.000, 0.104) and Np at (0.789, 0.500, 0.219).